Density functional theory data (PBE) for a relaxed TlFeTc crystal.

The structure belongs to space group F-43m (No. 216); the cell edges are 5.9137, 5.9137 and 5.9137 Å and the angles 90.00°, 90.00° and 90.00°. The distinct sites, in fractional coordinates, are Tl at (0.0000, 0.0000, 0.0000), Fe at (0.2500, 0.2500, 0.2500) and Tc at (0.0000, 0.0000, 0.5000).

As for the calculated total energy: -19.04 eV/f.u. Its volume is 206.8 Å³ per cell. The value obtained for the offset from the most stable computed form is 0.2276 eV/atom. Its formation enthalpy at 0 K is 2.15 eV/f.u.



Density functional theory data (PBE) for a relaxed LaTb6Pr crystal.

The structure belongs to space group C2/m (No. 12); the cell edges are 10.3597, 6.8001 and 8.5497 Å and the angles 90.00°, 104.72° and 90.00°. The distinct sites, in fractional coordinates, are La at (0.0000, 0.0000, 0.0000), Tb at (0.1238, 0.5000, 0.4214), Tb at (0.1990, 0.2607, 0.7993) and Pr at (0.0000, 0.0000, 0.5000).

As for the calculated total energy: -34.60 eV/f.u. Its volume is 582.5 Å³ per cell. The value obtained for the offset from the most stable computed form is 0.3375 eV/atom. Its formation enthalpy at 0 K is 2.89 eV/f.u.



Density functional theory data (PBE) for a relaxed In4GaPb5 crystal.

The structure belongs to space group P4/mmm (No. 123); the cell edges are 3.4130, 3.4130 and 24.9527 Å and the angles 90.00°, 90.00° and 90.00°. The distinct sites, in fractional coordinates, are In at (0.0000, 0.0000, 0.1028), In at (0.0000, 0.0000, 0.3093), Ga at (0.0000, 0.0000, 0.5000), Pb at (0.5000, 0.5000, 0.0000), Pb at (0.5000, 0.5000, 0.2061) and Pb at (0.5000, 0.5000, 0.4116).

As for the calculated total energy: -32.23 eV/f.u. Its volume is 290.7 Å³ per cell. Its formation enthalpy at 0 K is 0.29 eV/f.u.



Density functional theory data (PBE) for a relaxed LaVTc2 crystal.

The structure belongs to space group Fm-3m (No. 225); the cell edges are 6.5366, 6.5366 and 6.5366 Å and the angles 90.00°, 90.00° and 90.00°. The distinct sites, in fractional coordinates, are La at (0.0000, 0.0000, 0.0000), V at (0.0000, 0.0000, 0.5000) and Tc at (0.2500, 0.2500, 0.2500).

As for the calculated total energy: -33.63 eV/f.u. Its volume is 279.3 Å³ per cell. The value obtained for the offset from the most stable computed form is 0.0000 eV/atom. Its formation enthalpy at 0 K is 1.15 eV/f.u.



Density functional theory data (PBE) for a relaxed Gd2YV crystal.

The structure belongs to space group R-3m (No. 166, hexagonal axes); the cell edges are 3.4664, 3.4664 and 32.0818 Å and the angles 90.00°, 90.00° and 120.00°. The distinct sites, in fractional coordinates, are Gd at (0.0000, 0.0000, 0.2375), Y at (0.0000, 0.0000, 0.0000) and V at (0.0000, 0.0000, 0.5000).

As for the calculated total energy: -42.37 eV/f.u. Its volume is 333.8 Å³ per cell. Its formation enthalpy at 0 K is 1.37 eV/f.u.



Density functional theory data (PBE) for a relaxed Na2CeEr2S6 crystal.

The structure belongs to space group C2/m (No. 12); the cell edges are 6.9003, 11.9591 and 7.0833 Å and the angles 90.00°, 108.91° and 90.00°. The distinct sites, in fractional coordinates, are Na at (0.0000, 0.1680, 0.0000), Ce at (0.0000, 0.0000, 0.5000), Er at (0.0000, 0.3342, 0.5000), S at (0.2379, 0.1691, 0.7195) and S at (0.2424, 0.5000, 0.7196).

As for the calculated total energy: -62.34 eV/f.u. Its volume is 553.0 Å³ per cell. Its energy relative to the elements, uncorrected is -1.807 eV/atom.